Entry 1:
First-principles (GGA-PBE) data for crystalline Rb2CdF5 at its relaxed geometry, as listed in Alexandria via LeMat-Bulk.

Output
Its total energy is -3.734 eV/atom. The total magnetization comes out at 1.02 μB per formula unit. The value obtained for the volume is 174 Å³/cell. For the density, the calculation gives 3.618 g cm⁻³.

```
8
Lattice="6.300 0.000 0.000 0.000 6.300 0.000 0.000 0.000 4.376" Properties=species:S:1:pos:R:3 pbc="T T T"
Rb 0.000 3.150 0.000
Rb 3.150 0.000 0.000
Cd 0.000 0.000 2.188
F 0.000 0.000 0.000
F 1.506 1.506 2.188
F 1.506 4.794 2.188
F 4.794 1.506 2.188
F 4.794 4.794 2.188
```

=====

Entry 2:
First-principles (GGA-PBE) data for crystalline RbCd4F8 at its relaxed geometry, as listed in Alexandria via LeMat-Bulk.

Output
Its total energy is -3.367 eV/atom. The total magnetization comes out at 0.00 μB per formula unit. The value obtained for the volume is 201 Å³/cell. For the density, the calculation gives 5.681 g cm⁻³.

```
13
Lattice="5.856 0.000 0.000 0.000 5.856 0.000 0.000 0.000 5.856" Properties=species:S:1:pos:R:3 pbc="T T T"
Rb 0.000 0.000 0.000
Cd 0.000 0.000 2.928
Cd 0.000 2.928 0.000
Cd 2.928 0.000 0.000
Cd 2.928 2.928 2.928
F 1.495 1.495 1.495
F 1.495 1.495 4.361
F 1.495 4.361 1.495
F 1.495 4.361 4.361
F 4.361 1.495 1.495
F 4.361 1.495 4.361
F 4.361 4.361 1.495
F 4.361 4.361 4.361
```

=====

Entry 3:
First-principles (GGA-PBE) data for crystalline Rb3Cd2F7 at its relaxed geometry, as listed in Alexandria via LeMat-Bulk.

Output
Its total energy is -3.984 eV/atom. The total magnetization comes out at 0.00 μB per formula unit. The value obtained for the volume is 234 Å³/cell. For the density, the calculation gives 4.368 g cm⁻³.

```
12
Lattice="-2.253 2.253 11.498 2.253 -2.253 11.498 2.253 2.253 -11.498" Properties=species:S:1:pos:R:3 pbc="T T T"
Rb 0.000 0.000 0.000
Rb 0.000 0.000 4.256
Rb 0.000 0.000 18.741
Cd 0.000 0.000 9.238
Cd 0.000 0.000 13.759
F 2.253 0.000 2.216
F 0.000 0.000 7.003
F 2.253 0.000 9.282
F 0.000 0.000 11.498
F 0.000 2.253 2.216
F 0.000 0.000 15.994
F 0.000 2.253 9.282
```

=====

Entry 4:
First-principles (GGA-PBE) data for crystalline Rb3Cd5F12 at its relaxed geometry, as listed in Alexandria via LeMat-Bulk.

Output
Its total energy is -3.755 eV/atom. The total magnetization comes out at 0.00 μB per formula unit. The value obtained for the volume is 1593 Å³/cell. For the density, the calculation gives 4.362 g cm⁻³.

```
80
Lattice="-7.358 7.358 7.358 7.358 -7.358 7.358 7.358 7.358 -7.358" Properties=species:S:1:pos:R:3 pbc="T T T"
Rb 3.679 1.839 0.000
Rb 7.358 3.679 -1.839
Rb 1.839 0.000 3.679
Rb 9.197 0.000 3.679
Rb 0.000 3.679 1.839
Rb 3.679 -1.839 7.358
Rb 3.679 9.197 0.000
Rb 7.358 3.679 5.518
Rb -1.839 7.358 3.679
Rb 5.518 7.358 3.679
Rb 0.000 3.679 9.197
Rb 3.679 5.518 7.358
Cd 0.000 0.000 0.000
Cd 3.679 3.679 -3.679
Cd 3.679 -3.679 3.679
Cd 7.358 0.000 0.000
Cd 11.037 1.839 0.000
Cd 7.358 -3.679 5.518
Cd 5.518 7.358 -3.679
Cd 5.518 0.000 3.679
Cd 3.679 5.518 0.000
Cd 7.358 3.679 1.839
Cd -3.679 3.679 3.679
Cd 0.000 7.358 0.000
Cd 0.000 0.000 7.358
Cd 3.679 3.679 3.679
Cd 0.000 3.679 5.518
Cd 3.679 1.839 7.358
Cd 1.839 7.358 3.679
Cd 1.839 0.000 11.037
Cd 0.000 11.037 1.839
Cd -3.679 5.518 7.358
F 2.131 -0.468 0.737
F 8.906 4.416 -4.147
F 9.488 0.468 0.737
F 8.906 -2.942 4.147
F 6.890 -0.737 2.131
F 11.505 -1.548 2.942
F 0.737 2.131 -0.468
F 10.300 3.211 -1.548
F 4.416 4.147 -1.548
F 6.621 2.131 0.468
F -0.468 0.737 2.131
F 4.147 -1.548 4.416
F 6.890 6.621 -2.131
F 4.147 1.548 2.942
F 4.416 -4.147 8.906
F 6.621 -2.131 6.890
F 2.942 4.147 1.548
F 8.095 5.227 0.468
F 4.147 8.906 -2.942
F 6.890 0.737 5.227
F 2.131 6.890 -0.737
F 8.906 2.942 3.211
F 1.548 2.942 4.147
F 2.131 0.468 6.621
F 5.227 6.890 0.737
F 5.809 4.416 3.211
F -1.548 4.416 4.147
F 5.227 0.468 8.095
F 0.468 6.621 2.131
F 3.211 -1.548 10.300
F -0.737 2.131 6.890
F 4.416 3.211 5.809
F 0.737 9.488 0.468
F 2.942 11.505 -1.548
F 3.211 5.809 4.416
F 0.468 0.737 9.488
F 3.211 8.906 2.942
F 7.826 6.621 5.227
F 0.737 5.227 6.890
F 2.942 3.211 8.906
F -2.942 4.147 8.906
F 6.621 5.227 7.826
F -4.147 8.906 4.416
F 0.468 8.095 5.227
F -1.548 10.300 3.211
F -2.131 6.890 6.621
F -1.548 2.942 11.505
F 5.227 7.826 6.621
```

=====

Entry 5:
First-principles (GGA-PBE) data for crystalline RbCd3F at its relaxed geometry, as listed in Alexandria via LeMat-Bulk.

Output
Its total energy is -1.050 eV/atom. The total magnetization comes out at 0.07 μB per formula unit. The value obtained for the volume is 366 Å³/cell. For the density, the calculation gives 2.006 g cm⁻³.

```
5
Lattice="7.151 0.000 0.000 0.000 7.151 0.000 0.000 0.000 7.151" Properties=species:S:1:pos:R:3 pbc="T T T"
Rb 0.000 0.000 0.000
Cd 0.000 0.000 3.575
Cd 0.000 3.575 0.000
Cd 3.575 0.000 0.000
F 3.575 3.575 3.575
```

=====

Entry 6:
First-principles (GGA-PBE) data for crystalline Rb2Cd2F5 at its relaxed geometry, as listed in Alexandria via LeMat-Bulk.

Output
Its total energy is -3.651 eV/atom. The total magnetization comes out at 0.00 μB per formula unit. The value obtained for the volume is 189 Å³/cell. For the density, the calculation gives 4.316 g cm⁻³.

```
9
Lattice="6.426 -2.352 0.000 6.426 2.352 0.000 -2.631 0.000 6.246" Properties=species:S:1:pos:R:3 pbc="T T T"
Rb 0.547 0.000 2.044
Rb 9.674 0.000 4.202
Cd 4.203 0.000 0.694
Cd 6.019 0.000 5.552
F -0.540 0.000 5.681
F 3.333 0.000 2.724
F 6.426 0.000 0.000
F 6.888 0.000 3.522
F 10.761 0.000 0.565
```

=====

Entry 7:
First-principles (GGA-PBE) data for crystalline Rb2Cd2F5 at its relaxed geometry, as listed in Alexandria via LeMat-Bulk.

Output
Its total energy is -3.686 eV/atom. The total magnetization comes out at 0.00 μB per formula unit. The value obtained for the volume is 169 Å³/cell. For the density, the calculation gives 4.823 g cm⁻³.

```
9
Lattice="4.667 0.000 0.000 0.000 4.667 0.000 0.000 0.000 7.759" Properties=species:S:1:pos:R:3 pbc="T T T"
Rb 0.000 0.000 0.000
Rb 0.000 0.000 3.880
Cd 2.333 2.333 1.630
Cd 2.333 2.333 6.129
F 0.000 2.333 1.725
F 0.000 2.333 6.035
F 2.333 0.000 1.725
F 2.333 0.000 6.035
F 2.333 2.333 3.880
```

=====

Entry 8:
First-principles (GGA-PBE) data for crystalline Rb3CdF at its relaxed geometry, as listed in Alexandria via LeMat-Bulk.

Output
Its total energy is -2.151 eV/atom. The total magnetization comes out at 0.00 μB per formula unit. The value obtained for the volume is 200 Å³/cell. For the density, the calculation gives 3.226 g cm⁻³.

```
5
Lattice="5.844 0.000 0.000 0.000 5.844 0.000 0.000 0.000 5.844" Properties=species:S:1:pos:R:3 pbc="T T T"
Rb 0.000 0.000 2.922
Rb 0.000 2.922 0.000
Rb 2.922 0.000 0.000
Cd 2.922 2.922 2.922
F 0.000 0.000 0.000
```

=====

Entry 9:
First-principles (GGA-PBE) data for crystalline RbCd4F8 at its relaxed geometry, as listed in Alexandria via LeMat-Bulk.

Output
Its total energy is -3.635 eV/atom. The total magnetization comes out at 0.00 μB per formula unit. The value obtained for the volume is 289 Å³/cell. For the density, the calculation gives 3.953 g cm⁻³.

```
13
Lattice="3.529 2.038 6.690 -3.529 2.038 6.690 0.000 -4.075 6.690" Properties=species:S:1:pos:R:3 pbc="T T T"
Rb 0.000 0.000 0.000
Cd -3.529 0.000 10.036
Cd -1.765 1.019 3.345
Cd 1.765 1.019 3.345
Cd 0.000 0.000 10.036
F -1.794 -1.036 11.190
F 0.000 0.000 4.422
F 0.000 -2.071 8.881
F -1.794 1.036 8.881
F 1.794 -1.036 11.190
F 0.000 2.071 11.190
F 0.000 0.000 15.649
F 1.794 1.036 8.881
```

=====

Entry 10:
First-principles (GGA-PBE) data for crystalline Rb3Cd2F8 at its relaxed geometry, as listed in Alexandria via LeMat-Bulk.

Output
Its total energy is -3.706 eV/atom. The total magnetization comes out at 1.24 μB per formula unit. The value obtained for the volume is 281 Å³/cell. For the density, the calculation gives 3.742 g cm⁻³.

```
13
Lattice="3.223 1.861 7.807 -3.223 1.861 7.807 0.000 -3.722 7.807" Properties=species:S:1:pos:R:3 pbc="T T T"
Rb 0.000 0.000 0.000
Rb 0.000 0.000 4.623
Rb 0.000 0.000 18.797
Cd 0.000 0.000 9.431
Cd 0.000 0.000 13.989
F -1.710 -0.987 13.220
F 0.000 -1.974 10.200
F -1.710 0.987 10.200
F 0.000 0.000 7.323
F 0.000 0.000 16.097
F 1.710 -0.987 13.220
F 0.000 1.974 13.220
F 1.710 0.987 10.200
```

=====

Entry 11:
First-principles (GGA-PBE) data for crystalline Rb2CdReF6 at its relaxed geometry, as listed in Alexandria via LeMat-Bulk.

Output
Its total energy is -4.746 eV/atom. The total magnetization comes out at 3.00 μB per formula unit. The value obtained for the volume is 230 Å³/cell. For the density, the calculation gives 4.222 g cm⁻³.

```
10
Lattice="0.000 4.860 4.860 4.860 0.000 4.860 4.860 4.860 0.000" Properties=species:S:1:pos:R:3 pbc="T T T"
Rb 2.430 2.430 2.430
Rb 7.289 7.289 7.289
Cd 0.000 0.000 0.000
Re 4.860 4.860 4.860
F 4.860 4.860 2.870
F 4.860 2.870 4.860
F 6.849 4.860 4.860
F 2.870 4.860 4.860
F 4.860 6.849 4.860
F 4.860 4.860 6.849
```

=====

Entry 12:
First-principles (GGA-PBE) data for crystalline Rb2CdRhF6 at its relaxed geometry, as listed in Alexandria via LeMat-Bulk.

Output
Its total energy is -4.248 eV/atom. The total magnetization comes out at 1.00 μB per formula unit. The value obtained for the volume is 171 Å³/cell. For the density, the calculation gives 4.847 g cm⁻³.

```
10
Lattice="0.000 4.409 4.409 4.409 0.000 4.409 4.409 4.409 0.000" Properties=species:S:1:pos:R:3 pbc="T T T"
Rb 2.204 2.204 2.204
Rb 6.613 6.613 6.613
Cd 0.000 0.000 0.000
Rh 4.409 4.409 4.409
F 4.409 4.409 2.255
F 4.409 2.255 4.409
F 6.562 4.409 4.409
F 2.255 4.409 4.409
F 4.409 6.562 4.409
F 4.409 4.409 6.562
```

=====

| no. | Fermi-level density of states (states/eV per cell) | ΔE_f (raw) (eV per atom) |
| --- | --- | --- |
| 1 | 2.009 | -2.21 |
| 2 | 0.727 | -1.86 |
| 3 | 0.000 | -2.50 |
| 4 | 5.058 | -2.26 |
| 5 | 0.731 | 0.07 |
| 6 | 1.470 | -2.19 |
| 7 | 1.971 | -2.23 |
| 8 | 2.705 | -1.01 |
| 9 | 1.171 | -2.13 |
| 10 | 15.842 | -2.19 |
| 11 | 0.000 | -2.09 |
| 12 | 2.838 | -2.11 |